No. 1
Entry from the Open Quantum Materials Database: Y3Re2W3N12 after structural relaxation (PBE).

## Properties
Electronic total energy: -9.79 eV/atom

Cell lengths 12.714, 12.714, 12.714 Å; angles 90.00, 90.00, 90.00 degrees
Space group Ia-3d (No. 230)
Inequivalent atoms, fractional coordinates:
Y: 0.000 0.250 0.125
Re: 0.000 0.000 0.000
W: 0.000 0.250 0.375
N: 0.032 0.052 0.648

=====

No. 2
Entry from the Open Quantum Materials Database: DyNbPb after structural relaxation (PBE).

## Properties
Distance to the lowest polymorph of the same formula: 0 meV per atom

Cell lengths 6.925, 6.925, 6.925 Å; angles 90.00, 90.00, 90.00 degrees
Space group F-43m (No. 216)
Inequivalent atoms, fractional coordinates:
Dy: 0.000 0.000 0.000
Nb: 0.000 0.000 0.500
Pb: 0.250 0.250 0.250

=====

No. 3
Entry from the Open Quantum Materials Database: Y2ErAl2Cd4 after structural relaxation (PBE).

## Properties
Electronic total energy: -3.57 eV/atom

Cell lengths 4.547, 12.613, 7.306 Å; angles 90.00, 90.00, 90.00 degrees
Space group Amm2 (No. 38)
Inequivalent atoms, fractional coordinates:
Y: 0.000 0.215 0.000
Er: 0.000 0.000 0.646
Al: 0.500 0.166 0.715
Cd: 0.000 0.000 0.217
Cd: 0.500 0.000 0.964
Cd: 0.500 0.126 0.342

=====

No. 4
Entry from the Open Quantum Materials Database: Pm3Si4Pt4 after structural relaxation (PBE).

## Properties
Electronic total energy: -6.59 eV/atom

Cell lengths 4.169, 4.218, 24.517 Å; angles 90.00, 90.00, 90.00 degrees
Space group Immm (No. 71)
Inequivalent atoms, fractional coordinates:
Pm: 0.000 0.000 0.000
Pm: 0.000 0.500 0.146
Si: 0.000 0.000 0.451
Si: 0.000 0.500 0.305
Pt: 0.000 0.000 0.247
Pt: 0.000 0.500 0.403

=====

No. 5
Entry from the Open Quantum Materials Database: NaBe2Zn after structural relaxation (PBE).

## Properties
Electronic total energy: -1.94 eV/atom

Cell lengths 6.003, 6.003, 6.003 Å; angles 90.00, 90.00, 90.00 degrees
Space group F-43m (No. 216)
Inequivalent atoms, fractional coordinates:
Na: 0.000 0.000 0.000
Be: 0.000 0.000 0.500
Be: 0.250 0.250 0.250
Zn: 0.250 0.250 0.750

=====

No. 6
Entry from the Open Quantum Materials Database: BeCdCuAs after structural relaxation (PBE).

## Properties
Distance to the lowest polymorph of the same formula: 88 meV per atom

Cell lengths 6.365, 6.365, 6.365 Å; angles 90.00, 90.00, 90.00 degrees
Space group F-43m (No. 216)
Inequivalent atoms, fractional coordinates:
Be: 0.000 0.000 0.000
Cd: 0.250 0.250 0.250
Cu: 0.250 0.250 0.750
As: 0.000 0.000 0.500

=====

No. 7
Entry from the Open Quantum Materials Database: LuPaBe after structural relaxation (PBE).

## Properties
Distance to the lowest polymorph of the same formula: 0 meV per atom

Cell lengths 6.487, 6.487, 6.487 Å; angles 90.00, 90.00, 90.00 degrees
Space group F-43m (No. 216)
Inequivalent atoms, fractional coordinates:
Lu: 0.000 0.000 0.000
Pa: 0.000 0.000 0.500
Be: 0.250 0.250 0.250

=====

No. 8
Entry from the Open Quantum Materials Database: Sc3AgO after structural relaxation (PBE).

## Properties
Distance to the lowest polymorph of the same formula: 0 meV per atom

Cell lengths 10.881, 6.162, 6.162 Å; angles 90.00, 124.48, 90.00 degrees
Space group C2/c (No. 15)
Inequivalent atoms, fractional coordinates:
Sc: 0.000 0.248 0.250
Sc: 0.249 0.450 0.799
Ag: 0.000 0.250 0.750
O: 0.250 0.250 0.500

=====

No. 9
Entry from the Open Quantum Materials Database: RbSrPa after structural relaxation (PBE).

## Properties
Distance to the lowest polymorph of the same formula: 0 meV per atom

Cell lengths 8.753, 8.753, 8.753 Å; angles 90.00, 90.00, 90.00 degrees
Space group F-43m (No. 216)
Inequivalent atoms, fractional coordinates:
Rb: 0.000 0.000 0.000
Sr: 0.250 0.250 0.250
Pa: 0.000 0.000 0.500

=====

No. 10
Entry from the Open Quantum Materials Database: Ta2Co after structural relaxation (PBE).

## Properties
ΔE_f: -0.34 eV per formula unit

Cell lengths 5.106, 8.819, 8.389 Å; angles 90.00, 90.00, 90.00 degrees
Space group Cmcm (No. 63)
Inequivalent atoms, fractional coordinates:
Ta: 0.000 0.000 0.000
Ta: 0.000 0.206 0.250
Ta: 0.000 0.331 0.568
Co: 0.246 0.440 0.250

=====

No. 11
Entry from the Open Quantum Materials Database: Ni17Ge after structural relaxation (PBE).

## Properties
Distance to the lowest polymorph of the same formula: 7 meV per atom

Cell lengths 4.9477, 4.9477, 31.1679 Å; angles 90.00, 90.00, 120.00 degrees
Space group P3m1 (No. 156)
Inequivalent atoms, fractional coordinates:
Ni: 0.0000 0.0000 0.0001
Ni: 0.0000 0.0000 0.1938
Ni: 0.0016 0.5008 0.8049
Ni: 0.1662 0.3323 0.9341
Ni: 0.1664 0.3327 0.1297
Ni: 0.1675 0.3349 0.3245
Ni: 0.3307 0.1653 0.2597
Ni: 0.3334 0.1667 0.0647
Ni: 0.3333 0.6667 0.0647
Ni: 0.3333 0.6667 0.2601
Ni: 0.3333 0.6667 0.8698
Ni: 0.3371 0.1686 0.8700
Ni: 0.5003 0.0006 0.0000
Ni: 0.5006 0.0011 0.1942
Ni: 0.6667 0.3333 0.1296
Ni: 0.6667 0.3333 0.9348
Ge: 0.0000 0.0000 0.8018
Ge: 0.6667 0.3333 0.3276

=====

No. 12
Entry from the Open Quantum Materials Database: Ho2CoNiGe4 after structural relaxation (PBE).

## Properties
Electronic total energy: -5.70 eV/atom

Cell lengths 4.171, 4.080, 16.639 Å; angles 90.00, 90.00, 90.00 degrees
Space group Amm2 (No. 38)
Inequivalent atoms, fractional coordinates:
Ho: 0.000 0.000 0.000
Ho: 0.500 0.000 0.218
Co: 0.500 0.000 0.429
Ni: 0.000 0.000 0.786
Ge: 0.000 0.000 0.361
Ge: 0.000 0.000 0.649
Ge: 0.500 0.000 0.565
Ge: 0.500 0.000 0.858